[1]
An optimized crystal structure of CaYErSc, computed with GGA-PBE.

Its total energy is -18.6 eV per formula unit. Its crystal system is cubic. The formation energy is 183 meV/atom. The value obtained for the volume is 124.7 Å³ per cell. The space-group type is No. 216. The density of states at the Fermi level comes out at 7.30 states/eV/cell.

a b c (Å): 5.608 5.608 5.608
angles (deg): 60.00 60.00 60.00
Atoms (fractional coordinates):
Y: 0.750 0.750 0.750
Sc: 0.000 0.000 0.000
Ca: 0.500 0.500 0.500
Er: 0.250 0.250 0.250

[2]
An optimized crystal structure of Ba2NpScSe6, computed with GGA-PBE.

Its total energy is -59.9 eV per formula unit. Its crystal system is monoclinic. The value obtained for the volume is 598.1 Å³ per cell. The space-group type is No. 14. The density of states at the Fermi level comes out at 15.26 states/eV/cell.

a b c (Å): 7.366 7.653 10.610
angles (deg): 90.00 89.77 90.00
Atoms (fractional coordinates):
Ba: 0.018 0.935 0.251
Ba: 0.518 0.565 0.751
Ba: 0.982 0.065 0.749
Ba: 0.482 0.435 0.249
Np: 0.500 0.000 0.500
Np: 0.000 0.500 0.000
Sc: 0.500 0.000 0.000
Sc: 0.000 0.500 0.500
Se: 0.299 0.706 0.039
Se: 0.799 0.794 0.539
Se: 0.701 0.294 0.961
Se: 0.201 0.206 0.461
Se: 0.296 0.703 0.462
Se: 0.796 0.797 0.962
Se: 0.704 0.297 0.538
Se: 0.204 0.203 0.038
Se: 0.926 0.508 0.252
Se: 0.426 0.992 0.752
Se: 0.074 0.492 0.748
Se: 0.574 0.008 0.248

[3]
An optimized crystal structure of MgFeSiNi, computed with GGA-PBE.

Its total energy is -22.2 eV per formula unit. Its crystal system is cubic. The value obtained for the volume is 47.3 Å³ per cell. The space-group type is No. 216. The density of states at the Fermi level comes out at 1.64 states/eV/cell.

a b c (Å): 4.060 4.060 4.060
angles (deg): 60.00 60.00 60.00
Atoms (fractional coordinates):
Mg: 0.000 0.000 0.000
Ni: 0.250 0.250 0.250
Si: 0.500 0.500 0.500
Fe: 0.750 0.750 0.750

- Which of these has the lowest total energy?
  Ba2NpScSe6

Repeat the first record exactly.
An optimized crystal structure of CaYErSc, computed with GGA-PBE.

Its total energy is -18.6 eV per formula unit. Its crystal system is cubic. The formation energy is 183 meV/atom. The value obtained for the volume is 124.7 Å³ per cell. The space-group type is No. 216. The density of states at the Fermi level comes out at 7.30 states/eV/cell.

a b c (Å): 5.608 5.608 5.608
angles (deg): 60.00 60.00 60.00
Atoms (fractional coordinates):
Y: 0.750 0.750 0.750
Sc: 0.000 0.000 0.000
Ca: 0.500 0.500 0.500
Er: 0.250 0.250 0.250

- What is the formula in the first record?
  CaYErSc